A geometry-optimized YSc2PtO structure. Source: Alexandria, functional GGA-PBE.

Output
Magnetization in μB/f.u.: 0.00
E_form (uncorrected) in meV/atom: -1670
Energy in eV/atom: -7.695
Space-group type: P4/mmm, No. 123

a b c (Å): 4.329 4.329 4.734
angles (deg): 90.00 90.00 90.00
Atoms (fractional coordinates):
Y (0.000, 0.000, 0.000)
Sc (0.000, 0.500, 0.500)
Sc (0.500, 0.000, 0.500)
Pt (0.500, 0.500, 0.000)
O (0.000, 0.000, 0.500)